(1)
YAl2Cd: optimized geometry, GGA-PBE.

Geometry as POSCAR:
```
YAl2Cd
1.0
-1.537 -2.772 3.064
-0.489 -3.124 -3.072
4.022 -1.383 0.767
Al Y Cd
2 1 1
direct
0.000 0.000 0.000
0.500 0.500 0.000
0.000 0.500 0.500
0.500 0.000 0.500
```

Computed properties:
The value obtained for the total energy is -4.056 eV per atom. The crystal system is tetragonal.

(2)
Y3AlCd2: optimized geometry, GGA-PBE.

Geometry as POSCAR:
```
Y3AlCd2
1.0
5.240 0.000 0.000
-2.620 4.538 0.000
0.000 0.000 6.436
Cd Al Y
2 1 3
direct
0.333 0.667 0.658
0.667 0.333 0.342
0.000 0.000 0.000
0.333 0.667 0.158
0.667 0.333 0.842
0.000 0.000 0.500
```

Computed properties:
The energy above the most stable polymorph in this dataset is 4 meV/atom. The crystal system is trigonal.

(3)
Y2AlCd: optimized geometry, GGA-PBE.

Geometry as POSCAR:
```
Y2AlCd
1.0
-2.872 3.001 2.111
1.341 -1.059 3.329
4.822 3.683 1.325
Y Al Cd
2 1 1
direct
0.000 0.967 0.941
0.500 0.280 0.315
0.000 0.698 0.479
0.500 0.556 0.765
```

Computed properties:
The value obtained for the total energy is -4.738 eV per atom. The crystal system is orthorhombic.

(4)
YAl2Cd: optimized geometry, GGA-PBE.

Geometry as POSCAR:
```
YAl2Cd
1.0
4.608 0.000 0.000
0.000 3.377 -0.017
0.000 0.039 5.747
Al Y Cd
2 1 1
direct
0.000 0.249 0.985
0.000 0.251 0.515
0.500 0.750 0.750
0.500 0.250 0.250
```

Computed properties:
The value obtained for the total energy is -3.926 eV per atom. The crystal system is monoclinic.

(5)
Y4Al3Cd: optimized geometry, GGA-PBE.

Geometry as POSCAR:
```
Y4Al3Cd
1.0
-0.505 5.134 -0.140
-4.780 -0.321 5.479
7.718 0.945 6.788
Y Al Cd
8 6 2
direct
0.001 0.754 0.750
0.500 0.246 0.500
0.001 0.246 0.750
0.500 0.246 0.000
0.999 0.246 0.250
0.500 0.754 0.500
0.999 0.754 0.250
0.500 0.754 0.000
0.501 0.000 0.750
0.501 0.500 0.750
0.000 0.000 0.000
0.499 0.000 0.250
0.499 0.500 0.250
0.000 0.000 0.500
0.000 0.500 0.000
0.000 0.500 0.500
```

Computed properties:
The value obtained for the total energy is -5.156 eV per atom. The crystal system is orthorhombic.

(6)
YAl2Cd: optimized geometry, GGA-PBE.

Geometry as POSCAR:
```
YAl2Cd
1.0
-7.198 -6.462 -2.984
-5.893 -8.207 -0.617
-8.145 -6.010 0.058
Al Y Cd
2 1 1
direct
0.504 0.504 0.504
0.996 0.996 0.996
0.750 0.750 0.750
0.250 0.250 0.250
```

Computed properties:
The value obtained for the total energy is -3.663 eV per atom. The crystal system is trigonal.

(7)
YAl2Cd: optimized geometry, GGA-PBE.

Geometry as POSCAR:
```
YAl2Cd
1.0
-4.633 1.493 0.818
-3.778 -3.011 -1.011
-2.621 -1.990 3.678
Al Y Cd
2 1 1
direct
0.000 0.000 0.000
0.250 0.250 0.250
0.750 0.750 0.750
0.500 0.500 0.500
```

Computed properties:
The value obtained for the total energy is -3.812 eV per atom. The crystal system is cubic.

(8)
Y4Al2Cd: optimized geometry, GGA-PBE.

Geometry as POSCAR:
```
Y4Al2Cd
1.0
4.911 0.000 1.534
2.216 4.382 1.534
-0.056 -0.034 8.804
Y Al Cd
4 2 1
direct
0.130 0.130 0.610
0.870 0.870 0.390
0.618 0.618 0.147
0.382 0.382 0.853
0.253 0.253 0.242
0.747 0.747 0.758
0.000 0.000 0.000
```

Computed properties:
The value obtained for the total energy is -5.158 eV per atom. The crystal system is trigonal.

(9)
Y7Al2Cd2: optimized geometry, GGA-PBE.

Geometry as POSCAR:
```
Y7Al2Cd2
1.0
6.590 -0.003 -0.963
0.004 7.910 0.003
-1.372 -0.002 6.517
Cd Y Al
2 7 2
direct
0.705 0.000 0.295
0.295 0.000 0.705
0.000 0.706 0.500
0.500 0.724 0.500
0.500 0.706 0.000
0.000 0.000 0.000
0.500 0.276 0.500
0.500 0.294 0.000
0.000 0.294 0.500
0.170 0.500 0.170
0.830 0.500 0.830
```

Computed properties:
The value obtained for the total energy is -4.929 eV per atom. The crystal system is orthorhombic.

(10)
YAlCd2: optimized geometry, GGA-PBE.

Geometry as POSCAR:
```
YAlCd2
1.0
5.490 -0.019 -0.006
1.792 5.189 0.006
-3.636 -2.592 3.193
Al Cd Y
1 2 1
direct
0.250 0.750 0.500
0.500 0.500 0.000
0.000 0.000 0.000
0.750 0.250 0.500
```

Computed properties:
The value obtained for the total energy is -3.218 eV per atom. The crystal system is tetragonal.

(11)
YAlCd11: optimized geometry, GGA-PBE.

Geometry as POSCAR:
```
YAlCd11
1.0
-3.695 -2.647 3.745
2.893 -6.362 2.906
0.915 2.371 7.210
Cd Al Y
11 1 1
direct
0.356 0.646 0.653
0.502 0.213 0.790
0.293 0.213 0.210
0.644 0.354 0.347
0.707 0.787 0.790
0.000 0.500 0.000
0.000 0.000 0.500
0.500 0.000 0.500
0.009 0.646 0.347
0.498 0.787 0.210
0.991 0.354 0.653
0.500 0.500 0.000
0.000 0.000 0.000
```

Computed properties:
The value obtained for the total energy is -1.616 eV per atom. The crystal system is monoclinic.

(12)
Y2AlCd: optimized geometry, GGA-PBE.

Geometry as POSCAR:
```
Y2AlCd
1.0
-3.410 7.146 -1.777
-6.130 -1.669 5.049
-3.059 4.191 4.193
Al Cd Y
2 2 4
direct
0.500 0.500 0.000
0.250 0.750 0.500
0.750 0.250 0.500
0.000 0.000 0.000
0.375 0.381 0.750
0.875 0.869 0.750
0.619 0.125 0.250
0.131 0.625 0.250
```

Computed properties:
The value obtained for the total energy is -4.332 eV per atom. The crystal system is tetragonal.

(13)
Y2AlCd: optimized geometry, GGA-PBE.

Geometry as POSCAR:
```
Y2AlCd
1.0
-1.732 1.268 -2.957
0.057 -3.346 -1.468
-6.576 -1.516 3.201
Al Y Cd
1 2 1
direct
0.500 0.500 0.250
0.000 0.000 0.010
0.000 0.000 0.490
0.500 0.500 0.750
```

Computed properties:
The value obtained for the total energy is -4.792 eV per atom. The crystal system is tetragonal.

(14)
Y5Al3Cd12: optimized geometry, GGA-PBE.

Geometry as POSCAR:
```
Y5Al3Cd12
1.0
14.774 0.000 0.000
-4.925 13.929 0.000
-4.925 -6.964 12.063
Cd Al Y
48 12 20
direct
0.161 0.103 0.743
0.839 0.897 0.257
0.897 0.839 0.757
0.257 0.397 0.839
0.603 0.743 0.661
0.140 0.743 0.582
0.442 0.360 0.603
0.397 0.257 0.339
0.418 0.757 0.860
0.418 0.661 0.058
0.757 0.339 0.897
0.140 0.397 0.058
0.442 0.082 0.339
0.640 0.082 0.243
0.360 0.918 0.757
0.058 0.161 0.418
0.582 0.243 0.140
0.103 0.161 0.243
0.757 0.418 0.360
0.243 0.582 0.640
0.661 0.243 0.603
0.743 0.603 0.161
0.360 0.442 0.103
0.161 0.058 0.918
0.058 0.897 0.140
0.897 0.058 0.640
0.339 0.582 0.442
0.860 0.603 0.942
0.082 0.442 0.839
0.860 0.257 0.418
0.339 0.757 0.397
0.558 0.640 0.397
0.918 0.558 0.161
0.661 0.418 0.558
0.103 0.942 0.360
0.942 0.103 0.860
0.257 0.860 0.918
0.082 0.640 0.743
0.243 0.661 0.103
0.603 0.860 0.442
0.743 0.140 0.082
0.397 0.140 0.558
0.839 0.942 0.082
0.640 0.558 0.897
0.918 0.360 0.257
0.582 0.339 0.942
0.558 0.918 0.661
0.942 0.839 0.582
0.250 0.625 0.875
0.750 0.375 0.125
0.125 0.875 0.750
0.625 0.250 0.375
0.375 0.625 0.250
0.375 0.750 0.625
0.875 0.125 0.250
0.125 0.250 0.875
0.875 0.750 0.125
0.250 0.125 0.375
0.750 0.875 0.625
0.625 0.375 0.750
0.375 0.250 0.125
0.500 0.500 0.000
0.250 0.375 0.625
0.000 0.000 0.000
0.625 0.750 0.875
0.000 0.500 0.000
0.000 0.500 0.500
0.500 0.000 0.500
0.375 0.125 0.750
0.750 0.625 0.375
0.500 0.000 0.000
0.875 0.625 0.750
0.000 0.000 0.500
0.750 0.125 0.875
0.500 0.500 0.500
0.875 0.250 0.625
0.625 0.875 0.250
0.125 0.750 0.375
0.250 0.875 0.125
0.125 0.375 0.250
```

Computed properties:
The value obtained for the total energy is -2.374 eV per atom. The crystal system is cubic.

(15)
YAl2Cd: optimized geometry, GGA-PBE.

Geometry as POSCAR:
```
YAl2Cd
1.0
5.500 0.010 0.000
2.057 5.102 0.000
-3.778 -2.556 3.073
Y Al Cd
1 2 1
direct
0.750 0.250 0.500
0.250 0.750 0.500
0.000 0.000 0.000
0.500 0.500 0.000
```

Computed properties:
The value obtained for the total energy is -3.933 eV per atom. The crystal system is tetragonal.

(16)
Y3Al3Cd: optimized geometry, GGA-PBE.

Geometry as POSCAR:
```
Y3Al3Cd
1.0
4.487 0.000 0.676
2.207 5.549 0.577
0.218 0.171 13.780
Y Al Cd
6 6 2
direct
0.528 0.320 0.623
0.472 0.680 0.377
0.397 0.284 0.923
0.263 0.256 0.218
0.603 0.716 0.077
0.737 0.744 0.782
0.891 0.145 0.073
0.109 0.855 0.927
0.027 0.173 0.772
0.973 0.827 0.228
0.123 0.304 0.451
0.877 0.696 0.549
0.242 0.910 0.605
0.758 0.090 0.395
```

Computed properties:
The value obtained for the total energy is -4.918 eV per atom. The crystal system is monoclinic.

(17)
Y5Al2Cd2: optimized geometry, GGA-PBE.

Geometry as POSCAR:
```
Y5Al2Cd2
1.0
-6.147 2.655 -3.939
-1.755 -7.202 -2.117
-7.755 0.488 4.769
Y Al Cd
10 4 4
direct
0.500 0.500 0.000
0.947 0.323 0.737
0.053 0.677 0.263
0.553 0.823 0.263
0.447 0.177 0.737
0.816 0.823 0.737
0.684 0.323 0.263
0.184 0.177 0.263
0.000 0.000 0.000
0.316 0.677 0.737
0.381 0.881 0.000
0.881 0.619 0.000
0.119 0.381 0.000
0.619 0.119 0.000
0.282 0.500 0.436
0.782 0.000 0.436
0.218 0.000 0.564
0.718 0.500 0.564
```

Computed properties:
The value obtained for the total energy is -4.936 eV per atom. The crystal system is orthorhombic.

(18)
Y3Al4Cd2: optimized geometry, GGA-PBE.

Geometry as POSCAR:
```
Y3Al4Cd2
1.0
-1.802 4.186 -0.930
-3.354 -4.449 -1.894
-0.919 1.524 8.642
Y Al Cd
3 4 2
direct
0.665 0.330 0.669
0.000 0.000 0.000
0.335 0.670 0.331
0.952 0.903 0.614
0.732 0.465 0.061
0.268 0.535 0.939
0.048 0.097 0.386
0.616 0.231 0.281
0.384 0.769 0.719
```

Computed properties:
The value obtained for the total energy is -4.452 eV per atom. The crystal system is monoclinic.

(19)
YAlCd2: optimized geometry, GGA-PBE.

Geometry as POSCAR:
```
YAlCd2
1.0
10.247 0.030 0.018
9.703 3.293 0.018
9.703 1.616 2.869
Cd Al Y
2 1 1
direct
0.254 0.254 0.254
0.004 0.004 0.004
0.746 0.746 0.746
0.497 0.497 0.497
```

Computed properties:
The value obtained for the total energy is -3.000 eV per atom. The crystal system is trigonal.

(20)
YAlCd2: optimized geometry, GGA-PBE.

Geometry as POSCAR:
```
YAlCd2
1.0
4.282 0.000 0.000
0.000 4.520 0.000
0.000 0.000 4.680
Cd Al Y
2 1 1
direct
0.000 0.000 0.000
0.500 0.500 0.000
0.000 0.500 0.500
0.500 0.000 0.500
```

Computed properties:
The value obtained for the total energy is -3.290 eV per atom. The crystal system is orthorhombic.

(21)
Y2AlCd: optimized geometry, GGA-PBE.

Geometry as POSCAR:
```
Y2AlCd
1.0
-1.140 -4.613 2.043
2.212 -3.592 2.993
-2.117 1.626 5.721
Y Al Cd
2 1 1
direct
0.504 0.504 0.489
0.996 0.996 0.011
0.250 0.250 0.250
0.750 0.750 0.750
```

Computed properties:
The value obtained for the total energy is -4.576 eV per atom. The crystal system is monoclinic.